# 1
Entry from the Alexandria database: crystalline MoRuPt3 at its relaxed geometry (GGA-PBE).

```
MoRuPt3
1.0
4.770 0.000 0.000
0.000 4.770 0.000
0.000 0.000 4.770
Ru Mo Pt
1 1 3
direct
0.500 0.500 0.500 Ru
0.000 0.000 0.000 Mo
0.000 0.500 0.000 Pt
0.000 0.000 0.500 Pt
0.500 0.000 0.000 Pt
```

## Properties
Its uncorrected energy is -6.082 eV/atom. As for the space group: No. 221. For the formation energy, the calculation gives 1.564 eV per atom. The calculation puts the energy above the most stable polymorph in this dataset at 0.000 eV per atom.



# 2
Entry from the Alexandria database: crystalline ZnAg5Pd6 at its relaxed geometry (GGA-PBE).

```
ZnAg5Pd6
1.0
0.200 2.289 3.425
-2.757 -5.874 4.088
5.840 -0.854 2.712
Zn Pd Ag
1 6 5
direct
0.000 0.000 0.000 Zn
0.837 0.756 0.325 Pd
0.837 0.244 0.325 Pd
0.500 0.238 0.000 Pd
0.500 0.762 0.000 Pd
0.163 0.756 0.675 Pd
0.163 0.244 0.675 Pd
0.667 0.500 0.666 Ag
0.332 0.000 0.336 Ag
0.000 0.500 0.000 Ag
0.668 0.000 0.664 Ag
0.333 0.500 0.334 Ag
```

## Properties
Its uncorrected energy is -3.992 eV/atom. As for the space group: No. 65. For the formation energy, the calculation gives -0.102 eV per atom.



# 3
Entry from the Alexandria database: crystalline Pm4Er2Sc3 at its relaxed geometry (GGA-PBE).

```
Pm4Er2Sc3
1.0
3.422 0.007 0.006
1.680 9.297 1.072
-0.035 4.260 9.118
Pm Er Sc
4 2 3
direct
0.846 0.308 0.350 Pm
0.823 0.351 0.980 Pm
0.177 0.649 0.020 Pm
0.154 0.692 0.650 Pm
0.506 0.988 0.305 Er
0.494 0.012 0.695 Er
0.180 0.640 0.350 Sc
0.000 0.000 0.000 Sc
0.820 0.360 0.650 Sc
```

## Properties
Its uncorrected energy is -5.102 eV/atom. As for the space group: No. 2. For the formation energy, the calculation gives 0.134 eV per atom. The calculation puts the energy above the most stable polymorph in this dataset at 0.083 eV per atom.



# 4
Entry from the Alexandria database: crystalline Ba2Li2DySe4 at its relaxed geometry (GGA-PBE).

```
Ba2Li2DySe4
1.0
4.247 0.000 0.000
0.000 7.642 0.173
-2.123 -2.863 7.224
Ba Li Dy Se
2 2 1 4
direct
0.134 0.558 0.267 Ba
0.866 0.442 0.733 Ba
0.680 0.993 0.360 Li
0.320 0.007 0.640 Li
0.000 0.000 0.000 Dy
0.202 0.191 0.405 Se
0.798 0.809 0.595 Se
0.517 0.753 0.035 Se
0.483 0.247 0.965 Se
```

## Properties
Its uncorrected energy is -4.557 eV/atom. As for the space group: No. 12. Its uncorrected formation energy is -1644.2 meV/atom.



# 5
Entry from the Alexandria database: crystalline Ag3HgS at its relaxed geometry (GGA-PBE).

```
Ag3HgS
1.0
-2.504 -0.616 -4.196
3.032 -3.667 -1.271
-2.965 -3.230 2.244
S Hg Ag
1 1 3
direct
0.000 0.000 0.000 S
0.500 0.500 0.500 Hg
0.000 0.500 0.000 Ag
0.000 0.000 0.500 Ag
0.500 0.000 0.000 Ag
```

## Properties
Its uncorrected energy is -2.397 eV/atom. As for the space group: No. 221. Its uncorrected formation energy is 199.1 meV/atom. The calculation puts the energy above the most stable polymorph in this dataset at 0.000 eV per atom.



# 6
Entry from the Alexandria database: crystalline KZnI2F at its relaxed geometry (GGA-PBE).

```
KZnI2F
1.0
-0.841 5.732 -0.890
-1.604 0.635 5.602
3.918 0.736 1.038
I Zn K F
2 1 1 1
direct
0.000 0.500 0.000 I
0.500 0.000 0.000 I
0.000 0.000 0.000 Zn
0.500 0.500 0.500 K
0.000 0.000 0.500 F
```

## Properties
Its uncorrected energy is -2.777 eV/atom. As for the space group: No. 123. Its uncorrected formation energy is -1308.3 meV/atom.



# 7
Entry from the Alexandria database: crystalline Mg6CuCO8 at its relaxed geometry (GGA-PBE).

```
Mg6CuCO8
1.0
-1.103 3.958 0.954
-0.778 -1.175 3.975
8.011 1.731 2.079
Mg Cu C O
6 1 1 8
direct
0.500 0.500 0.000 Mg
0.500 0.500 0.500 Mg
0.000 0.500 0.253 Mg
0.000 0.500 0.747 Mg
0.500 0.000 0.253 Mg
0.500 0.000 0.747 Mg
0.000 0.000 0.000 Cu
0.000 0.000 0.500 C
0.000 0.000 0.255 O
0.000 0.000 0.745 O
0.500 0.500 0.251 O
0.500 0.500 0.749 O
0.000 0.500 0.000 O
0.000 0.500 0.500 O
0.500 0.000 0.000 O
0.500 0.000 0.500 O
```

## Properties
Its uncorrected energy is -5.725 eV/atom. As for the space group: No. 123. Its uncorrected formation energy is -1815.8 meV/atom. The calculation puts the energy above the most stable polymorph in this dataset at 0.000 eV per atom.



# 8
Entry from the Alexandria database: crystalline TlZn2InPt at its relaxed geometry (GGA-PBE).

```
TlZn2InPt
1.0
-0.362 4.697 -1.490
-4.371 0.384 2.272
2.376 1.550 4.309
Tl Zn Pt In
1 2 1 1
direct
0.500 0.500 0.500 Tl
0.000 0.500 0.000 Zn
0.500 0.000 0.000 Zn
0.000 0.000 0.000 Pt
0.000 0.000 0.500 In
```

## Properties
Its uncorrected energy is -2.875 eV/atom. As for the space group: No. 123. For the formation energy, the calculation gives -0.136 eV per atom.



Question: uncorrected energy of number 5 (Ag3HgS)?
Answer: -2.397 eV/atom



What did the eighth record say?
Entry from the Alexandria database: crystalline TlZn2InPt at its relaxed geometry (GGA-PBE).

```
TlZn2InPt
1.0
-0.362 4.697 -1.490
-4.371 0.384 2.272
2.376 1.550 4.309
Tl Zn Pt In
1 2 1 1
direct
0.500 0.500 0.500 Tl
0.000 0.500 0.000 Zn
0.500 0.000 0.000 Zn
0.000 0.000 0.000 Pt
0.000 0.000 0.500 In
```

## Properties
Its uncorrected energy is -2.875 eV/atom. As for the space group: No. 123. For the formation energy, the calculation gives -0.136 eV per atom.